Record 1
18
Lattice="6.604 0.000 2.397 0.000 6.815 0.000 0.699 0.000 8.370" Properties=species:S:1:pos:R:3 comment="Hf5Cd2Fe2 (PBE-GGA, relaxed)" formation_enthalpy_0k_ev_per_atom=-0.074 crystal_system=orthorhombic pbc="T T T"
Hf 4.911 2.284 3.540
Hf 3.867 5.692 3.161
Hf 2.391 4.531 7.227
Hf 6.737 2.284 8.805
Hf 3.435 1.123 7.606
Fe 5.719 4.328 2.076
Hf 0.565 4.531 1.963
Fe 2.417 5.895 0.877
Hf 5.693 5.692 8.426
Cd 5.160 3.408 6.373
Hf 0.000 0.000 0.000
Hf 1.609 1.123 2.342
Hf 3.302 3.408 1.199
Cd 1.858 0.000 5.175
Fe 4.186 0.920 1.520
Fe 0.885 2.487 0.321
Cd 5.444 0.000 5.593
Cd 2.142 3.408 4.394


Record 2
8
Lattice="-0.290 -5.122 4.882 6.888 0.914 1.367 2.661 -0.209 5.075" Properties=species:S:1:pos:R:3 comment="HfCdFe2 (PBE-GGA, relaxed)" formation_enthalpy_0k_ev_per_atom=0.606 crystal_system=tetragonal pbc="T T T"
Hf 2.835 -3.717 6.541
Cd 6.424 -0.700 4.783
Fe 4.935 -0.107 2.720
Fe 1.344 -3.154 4.505
Hf 0.000 0.000 0.000
Fe 4.450 -1.737 6.146
Fe 7.789 -3.836 9.278
Cd 3.299 -2.104 3.125


Record 3
5
Lattice="4.673 0.000 0.000 0.000 4.673 0.000 0.000 0.000 4.673" Properties=species:S:1:pos:R:3 comment="HfCdFe3 (PBE-GGA, relaxed)" formation_enthalpy_0k_ev_per_atom=1.461 crystal_system=cubic pbc="T T T"
Fe 2.336 0.000 0.000
Fe 0.000 2.336 0.000
Fe 0.000 0.000 2.336
Hf 2.336 2.336 2.336
Cd 0.000 0.000 0.000


Record 4
8
Lattice="-6.952 -1.201 2.372 -2.120 -1.506 -6.974 -3.927 -4.081 -1.897" Properties=species:S:1:pos:R:3 comment="Hf2CdFe (PBE-GGA, relaxed)" formation_enthalpy_0k_ev_per_atom=0.340 crystal_system=tetragonal pbc="T T T"
Hf -5.216 -1.894 0.008
Cd 0.000 0.000 0.000
Fe -4.536 -1.353 -2.301
Fe -5.291 -3.470 -5.586
Hf -3.551 -2.176 -4.408
Cd -7.707 -3.318 -0.913
Hf -6.462 -4.158 -3.526
Hf -10.768 -5.348 -5.073


Record 5
10
Lattice="-2.487 0.972 -1.639 -1.902 -1.106 2.231 0.615 14.995 7.956" Properties=species:S:1:pos:R:3 comment="Hf5CdFe4 (PBE-GGA, relaxed)" formation_enthalpy_0k_ev_per_atom=-0.247 crystal_system=tetragonal pbc="T T T"
Fe 0.365 8.884 4.714
Hf -1.887 7.430 4.274
Hf -2.001 4.653 2.800
Cd 0.000 0.000 0.000
Fe 0.136 3.309 1.756
Hf -1.660 12.965 7.211
Hf -2.114 1.896 1.337
Hf -1.773 10.208 5.747
Fe 0.251 6.111 3.242
Fe 0.479 11.686 6.200


Record 6
5
Lattice="4.752 0.000 0.000 0.000 5.362 0.000 0.000 0.000 4.752" Properties=species:S:1:pos:R:3 comment="HfCdFe2Te (PBE-GGA, relaxed)" crystal_system=tetragonal raw_formation_energy_ev_per_atom=1.397 pbc="T T T"
Te 0.000 2.681 0.000
Hf 2.376 2.681 2.376
Cd 0.000 0.000 0.000
Fe 0.000 0.000 2.376
Fe 2.376 0.000 0.000


Record 7
5
Lattice="-4.000 -1.473 0.758 -0.225 -1.744 -4.574 1.645 -3.769 1.356" Properties=species:S:1:pos:R:3 comment="HfTiCdFe2 (PBE-GGA, relaxed)" formation_enthalpy_0k_ev_per_atom=0.977 crystal_system=tetragonal pbc="T T T"
Cd -1.290 -3.493 -1.230
Fe 0.822 -1.884 0.678
Fe -2.000 -0.736 0.379
Hf -0.113 -0.872 -2.287
Ti 0.000 0.000 0.000


Record 8
5
Lattice="-3.789 -1.699 -3.023 2.726 -3.352 -1.534 -1.642 -3.065 3.780" Properties=species:S:1:pos:R:3 comment="Hf2ZnCdFe (PBE-GGA, relaxed)" formation_enthalpy_0k_ev_per_atom=1.416 crystal_system=tetragonal pbc="T T T"
Cd 0.000 0.000 0.000
Zn -1.353 -4.058 -0.388
Hf -1.895 -0.849 -1.512
Fe 1.363 -1.676 -0.767
Hf -0.821 -1.533 1.890


Record 9
4
Lattice="0.000 3.197 3.197 3.197 0.000 3.197 3.197 3.197 0.000" Properties=species:S:1:pos:R:3 comment="CdFe2Hg (PBE-GGA, relaxed)" formation_enthalpy_0k_ev_per_atom=0.480 crystal_system=cubic pbc="T T T"
Cd 0.000 0.000 0.000
Fe 4.795 4.795 4.795
Fe 1.598 1.598 1.598
Hg 3.197 3.197 3.197


Record 10
4
Lattice="-2.994 -4.503 0.499 0.938 -3.237 4.258 -1.499 4.903 -1.790" Properties=species:S:1:pos:R:3 comment="CdFe2Hg (PBE-GGA, relaxed)" formation_enthalpy_0k_ev_per_atom=0.339 crystal_system=orthorhombic pbc="T T T"
Fe -1.995 -7.509 4.615
Cd -0.767 -0.999 2.360
Hg -1.063 -4.000 2.459
Fe -2.814 -1.937 0.668


Record 11
6
Lattice="1.058 2.533 4.190 -3.576 2.655 2.292 -1.840 -1.547 4.394" Properties=species:S:1:pos:R:3 comment="CdFe4Hg (PBE-GGA, relaxed)" formation_enthalpy_0k_ev_per_atom=0.299 crystal_system=cubic pbc="T T T"
Fe -1.101 2.635 6.176
Fe -2.556 0.586 6.279
Fe -3.427 2.696 5.224
Hg -3.269 2.730 8.157
Cd 0.000 0.000 0.000
Fe -1.632 1.363 4.073


Record 12
3
Lattice="6.455 -0.075 0.076 5.785 2.862 0.118 0.670 0.111 2.935" Properties=species:S:1:pos:R:3 comment="CdFeHg (PBE-GGA, relaxed)" formation_enthalpy_0k_ev_per_atom=0.328 crystal_system=tetragonal pbc="T T T"
Cd 0.831 0.148 2.897
Hg 4.363 0.965 2.060
Fe 8.386 1.896 1.108


Record 13
6
Lattice="-0.886 -4.771 -3.341 -5.433 -1.339 -1.841 -1.416 0.607 -5.686" Properties=species:S:1:pos:R:3 comment="CdFeHg4 (PBE-GGA, relaxed)" formation_enthalpy_0k_ev_per_atom=0.600 crystal_system=cubic pbc="T T T"
Hg -3.342 -4.453 -5.746
Cd -5.802 -4.126 -8.151
Hg -2.898 -2.061 -4.072
Fe 0.000 0.000 0.000
Hg -3.608 -1.757 -6.922
Hg -5.622 -2.732 -4.995


Record 14
4
Lattice="6.412 0.013 0.043 -2.557 4.216 -0.011 1.299 0.762 2.431" Properties=species:S:1:pos:R:3 comment="CdFe2Hg (PBE-GGA, relaxed)" formation_enthalpy_0k_ev_per_atom=0.424 crystal_system=monoclinic pbc="T T T"
Fe 0.000 0.000 0.000
Cd 1.928 2.115 0.016
Hg -0.629 2.489 1.210
Fe 3.855 0.388 1.237


Record 15
4
Lattice="-0.648 -3.905 -2.898 0.783 -4.812 -0.549 -4.271 -1.790 1.912" Properties=species:S:1:pos:R:3 comment="CdFe2Hg (PBE-GGA, relaxed)" formation_enthalpy_0k_ev_per_atom=0.474 crystal_system=monoclinic pbc="T T T"
Cd -1.034 -2.627 -0.384
Fe -4.269 -1.797 1.908
Fe -2.070 -5.247 -0.763
Hg -3.102 -7.880 -1.151


Record 16
4
Lattice="4.986 0.015 -0.009 1.769 4.662 0.009 -3.372 -2.347 2.826" Properties=species:S:1:pos:R:3 comment="CdFe2Hg (PBE-GGA, relaxed)" formation_enthalpy_0k_ev_per_atom=0.408 crystal_system=tetragonal pbc="T T T"
Cd 0.887 2.327 1.418
Fe 6.755 4.677 0.000
Hg 2.496 0.003 1.408
Fe 3.378 2.339 0.000


Record 17
4
Lattice="9.421 0.044 0.026 8.948 2.948 0.026 8.948 1.457 2.563" Properties=species:S:1:pos:R:3 comment="CdFe2Hg (PBE-GGA, relaxed)" formation_enthalpy_0k_ev_per_atom=0.318 crystal_system=trigonal pbc="T T T"
Fe 7.149 1.164 0.684
Fe 27.004 4.398 2.584
Cd 20.189 3.288 1.932
Hg 13.953 2.272 1.335


Record 18
4
Lattice="4.540 0.000 0.000 2.270 3.932 0.000 2.270 1.311 3.707" Properties=species:S:1:pos:R:3 comment="CdFe2Hg (PBE-GGA, relaxed)" formation_enthalpy_0k_ev_per_atom=0.457 crystal_system=cubic pbc="T T T"
Fe 2.270 1.311 0.927
Fe 0.000 0.000 0.000
Cd 4.540 2.621 1.853
Hg 6.810 3.932 2.780


Record 19
3
Lattice="4.493 0.000 0.000 2.246 3.891 0.000 2.246 1.297 3.668" Properties=species:S:1:pos:R:3 comment="CdFeHg (PBE-GGA, relaxed)" formation_enthalpy_0k_ev_per_atom=0.507 crystal_system=cubic pbc="T T T"
Hg 0.000 0.000 0.000
Cd 4.493 2.594 1.834
Fe 2.246 1.297 0.917


Record 20
5
Lattice="-4.277 2.797 -0.780 -0.208 -1.680 -4.885 -2.897 -4.010 1.503" Properties=species:S:1:pos:R:3 comment="CdFeHg3 (PBE-GGA, relaxed)" formation_enthalpy_0k_ev_per_atom=0.430 crystal_system=cubic pbc="T T T"
Hg -2.138 1.399 -0.390
Cd -3.691 -1.446 -2.081
Fe 0.000 0.000 0.000
Hg -1.448 -2.005 0.751
Hg -0.104 -0.840 -2.442